Entry 1:
Computed, not measured: crystalline LiTe at its relaxed geometry at the GGA-PBE level of DFT.

Unit cell a=4.3077 b=4.3077 c=3.1526 alpha=90.00 beta=90.00 gamma=120.00
Closest atoms and distances in Å follow each position.
Fractional positions:
Te: 0.3333 0.6667 0.0000  6 Li 2.94, 2 Te 3.15
Li: 0.6667 0.3333 0.5000  6 Te 2.94, 2 Li 3.15

E above lowest polymorph, meV/atom: 28
Space-group type: No. 187
Total magnetic moment, Bohr magnetons per cell: 0.0
Formation energy without anion corrections, eV per atom: -0.694

---

Entry 2:
Computed, not measured: crystalline Ho6Tm12Mg at its relaxed geometry at the GGA-PBE level of DFT.

Unit cell a=8.4936 b=8.4936 c=8.4936 alpha=97.63 beta=97.63 gamma=97.63
Closest atoms and distances in Å follow each position.
Fractional positions:
Tm: 0.4065 0.8342 0.4066  7 Tm 3.15-3.46
Tm: 0.8342 0.4066 0.4065  7 Tm 3.15-3.46
Tm: 0.7388 0.0000 0.2613  4 Ho 3.27-3.44, 6 Tm 3.34-3.46, 1 Mg 3.34
Tm: 0.7387 0.2612 0.0000  4 Ho 3.27-3.44, 6 Tm 3.34-3.46, 1 Mg 3.34
Tm: 0.2613 0.7388 0.0000  4 Ho 3.27-3.44, 6 Tm 3.34-3.46, 1 Mg 3.34
Tm: 0.1658 0.5934 0.5935  7 Tm 3.15-3.46
Tm: 0.5934 0.5935 0.1658  7 Tm 3.15-3.46
Tm: 0.0000 0.7387 0.2612  4 Ho 3.27-3.44, 1 Mg 3.34, 6 Tm 3.34-3.46
Tm: 0.2612 0.0000 0.7387  4 Ho 3.27-3.44, 6 Tm 3.34-3.46, 1 Mg 3.34
Tm: 0.4066 0.4065 0.8342  7 Tm 3.15-3.46
Tm: 0.0000 0.2613 0.7388  4 Ho 3.27-3.44, 1 Mg 3.34, 6 Tm 3.34-3.46
Tm: 0.5935 0.1658 0.5934  7 Tm 3.15-3.46
Ho: 0.4099 0.1375 0.1377  4 Tm 3.27-3.44, 2 Ho 3.48, 1 Mg 3.51
Ho: 0.5901 0.8625 0.8623  4 Tm 3.27-3.44, 2 Ho 3.48, 1 Mg 3.51
Ho: 0.8625 0.8623 0.5901  4 Tm 3.27-3.44, 2 Ho 3.48, 1 Mg 3.51
Ho: 0.1377 0.4099 0.1375  4 Tm 3.27-3.44, 2 Ho 3.48, 1 Mg 3.51
Ho: 0.8623 0.5901 0.8625  4 Tm 3.27-3.44, 2 Ho 3.48, 1 Mg 3.51
Ho: 0.1375 0.1377 0.4099  4 Tm 3.27-3.44, 2 Ho 3.48, 1 Mg 3.51
Mg: 0.0000 0.0000 0.0000  6 Tm 3.34, 6 Ho 3.51

Energy of formation, meV/atom: 146
E above lowest polymorph, meV/atom: 2
Space-group type: No. 166
Total magnetic moment, Bohr magnetons per cell: 0.0

---

Entry 3:
Computed, not measured: crystalline ScTcCl2 at its relaxed geometry at the GGA-PBE level of DFT.

Unit cell a=4.5726 b=4.5726 c=4.5726 alpha=60.00 beta=60.00 gamma=60.00
Closest atoms and distances in Å follow each position.
Fractional positions:
Cl: 0.2500 0.2500 0.2500  4 Tc 2.80, 4 Sc 2.80
Cl: 0.7500 0.7500 0.7500  4 Tc 2.80, 4 Sc 2.80
Tc: 0.5000 0.5000 0.5000  8 Cl 2.80
Sc: 0.0000 0.0000 0.0000  8 Cl 2.80

E above lowest polymorph, meV/atom: 645
Space-group type: No. 225
Total magnetic moment, Bohr magnetons per cell: 2.1
Formation energy without anion corrections, eV per atom: -0.060

---

Entry 4:
Computed, not measured: crystalline Ce3SeS2 at its relaxed geometry at the GGA-PBE level of DFT.

Unit cell a=4.2314 b=7.1692 c=10.5522 alpha=90.00 beta=90.00 gamma=107.16
Closest atoms and distances in Å follow each position.
Fractional positions:
Ce: 0.3543 0.7086 0.9506  3 S 2.65-2.96
Ce: 0.6457 0.2914 0.4506  3 S 2.65-2.96
Ce: 0.0918 0.1836 0.7500  4 S 2.69-2.92
Ce: 0.6457 0.2914 0.0494  3 S 2.65-2.96
Ce: 0.9082 0.8164 0.2500  4 S 2.69-2.92
Ce: 0.3543 0.7086 0.5494  3 S 2.65-2.96
S: 0.5292 0.0583 0.2500  4 Ce 2.65-2.69
S: 0.0000 0.0000 0.0000  6 Ce 2.92-2.96
S: 0.4708 0.9417 0.7500  4 Ce 2.65-2.69
S: 0.0000 0.0000 0.5000  6 Ce 2.92-2.96
Se: 0.7502 0.5005 0.7500  6 Ce 3.03-3.32
Se: 0.2498 0.4995 0.2500  6 Ce 3.03-3.32

Space-group type: No. 63
Total magnetic moment, Bohr magnetons per cell: 9.8
Formation energy without anion corrections, eV per atom: -1.551

---

Entry 5:
Computed, not measured: crystalline Cu2Te at its relaxed geometry at the GGA-PBE level of DFT.

Unit cell a=6.2715 b=6.2715 c=6.2715 alpha=90.00 beta=90.00 gamma=90.00
Closest atoms and distances in Å follow each position.
Fractional positions:
Cu: 0.3773 0.1227 0.1227  3 Te 2.60, 1 Cu 2.67
Cu: 0.1227 0.8773 0.6227  3 Te 2.60, 1 Cu 2.67
Cu: 0.8773 0.1227 0.3773  3 Te 2.60, 1 Cu 2.67
Cu: 0.3773 0.3773 0.6227  3 Te 2.60, 1 Cu 2.67
Cu: 0.8773 0.3773 0.8773  3 Te 2.60, 1 Cu 2.67
Cu: 0.1227 0.6227 0.1227  3 Te 2.60, 1 Cu 2.67
Cu: 0.6227 0.8773 0.8773  3 Te 2.60, 1 Cu 2.67
Cu: 0.6227 0.6227 0.3773  3 Te 2.60, 1 Cu 2.67
Te: 0.0000 0.0000 0.0000  6 Cu 2.60
Te: 0.0000 0.5000 0.5000  6 Cu 2.60
Te: 0.5000 0.0000 0.5000  6 Cu 2.60
Te: 0.5000 0.5000 0.0000  6 Cu 2.60

Space-group type: No. 205
Total magnetic moment, Bohr magnetons per cell: 0.0
Formation energy without anion corrections, eV per atom: 0.232

---

Entry 6:
Computed, not measured: crystalline La3Sm2Tm at its relaxed geometry at the GGA-PBE level of DFT.

Unit cell a=3.4823 b=6.0730 c=10.4908 alpha=106.82 beta=99.55 gamma=90.00
Closest atoms and distances in Å follow each position.
Fractional positions:
Sm: 0.3642 0.3642 0.7283  3 La 3.20-3.50, 2 Sm 3.48
Sm: 0.6358 0.6358 0.2717  3 La 3.20-3.50, 2 Sm 3.48
La: 0.1871 0.1871 0.3742  2 La 3.48, 5 Sm 3.50-3.64, 1 Tm 3.70
La: 0.8129 0.8129 0.6258  2 La 3.48, 5 Sm 3.50-3.64, 1 Tm 3.70
La: 0.0000 0.5000 0.0000  2 Tm 3.04, 4 Sm 3.20
Tm: 0.0000 0.0000 0.0000  2 La 3.04

Energy of formation, meV/atom: 319
E above lowest polymorph, meV/atom: 287
Space-group type: No. 71
Total magnetic moment, Bohr magnetons per cell: 0.0

---

Entry 7:
Computed, not measured: crystalline ZnNi2Au2 at its relaxed geometry at the GGA-PBE level of DFT.

Unit cell a=7.0528 b=7.0528 c=3.1314 alpha=90.00 beta=90.00 gamma=90.00
Closest atoms and distances in Å follow each position.
Fractional positions:
Ni: 0.1443 0.6443 0.5000  6 Au 2.56-2.61
Ni: 0.6443 0.8557 0.5000  6 Au 2.56-2.61
Ni: 0.3557 0.1443 0.5000  6 Au 2.56-2.61
Ni: 0.8557 0.3557 0.5000  6 Au 2.56-2.61
Zn: 0.5000 0.5000 0.0000  4 Au 2.68
Zn: 0.0000 0.0000 0.0000  4 Au 2.68
Au: 0.6522 0.1522 0.0000  6 Ni 2.56-2.61, 2 Zn 2.68
Au: 0.8478 0.6522 0.0000  6 Ni 2.56-2.61, 2 Zn 2.68
Au: 0.3478 0.8478 0.0000  6 Ni 2.56-2.61, 2 Zn 2.68
Au: 0.1522 0.3478 0.0000  6 Ni 2.56-2.61, 2 Zn 2.68

Energy of formation, meV/atom: 149
E above lowest polymorph, meV/atom: 115
Space-group type: No. 127
Total magnetic moment, Bohr magnetons per cell: 0.0

---

Entry 8:
Computed, not measured: crystalline Li2NO at its relaxed geometry at the GGA-PBE level of DFT.

Unit cell a=3.6482 b=3.6482 c=3.6482 alpha=60.00 beta=60.00 gamma=60.00
Closest atoms and distances in Å follow each position.
Fractional positions:
Li: 0.7500 0.7500 0.7500  4 O 2.23, 4 N 2.23
Li: 0.2500 0.2500 0.2500  4 O 2.23, 4 N 2.23
N: 0.0000 0.0000 0.0000  8 Li 2.23
O: 0.5000 0.5000 0.5000  8 Li 2.23

E above lowest polymorph, meV/atom: 13
Space-group type: No. 225
Total magnetic moment, Bohr magnetons per cell: 2.8
Formation energy without anion corrections, eV per atom: -0.033